TaCrSnOs | PBE | relaxed

Calculated values
Total DFT energy (no corrections) in eV per atom: -9.00

Cell lengths 2.9983, 4.0090, 5.5410 Å; angles 90.00, 90.00, 90.00 degrees
Space group Pmm2 (No. 25)
Inequivalent atoms, fractional coordinates:
Ta 0.0000 0.0000 0.0000 x1
Cr 0.0000 0.0000 0.4638 x1
Sn 0.5000 0.5000 0.6974 x1
Os 0.5000 0.5000 0.2087 x1